(1)
The following is a PBE calculation of NdHf2MnN4 after structural relaxation, from Alexandria.

Properties
Crystal system: orthorhombic
M_tot, μB/f.u.: 0.0
Calculated total energy, eV per atom: -9.728
Raw formation energy, eV per atom: -1.33

a b c (Å): 5.764 5.764 11.030
angles (deg): 90.00 90.00 147.27
Fractional positions:
Nd (0.102, 0.898, 0.750)
Nd (0.898, 0.102, 0.250)
Hf (0.367, 0.633, 0.548)
Hf (0.367, 0.633, 0.952)
Hf (0.633, 0.367, 0.048)
Hf (0.633, 0.367, 0.452)
Mn (0.160, 0.840, 0.250)
Mn (0.840, 0.160, 0.750)
N (0.000, 0.000, 0.000)
N (0.000, 0.000, 0.500)
N (0.265, 0.735, 0.114)
N (0.265, 0.735, 0.386)
N (0.429, 0.571, 0.750)
N (0.571, 0.429, 0.250)
N (0.735, 0.265, 0.614)
N (0.735, 0.265, 0.886)

***

(2)
The following is a PBE calculation of MnTlBrCl2 after structural relaxation, from Alexandria.

Properties
Crystal system: monoclinic
M_tot, μB/f.u.: 5.0
Calculated total energy, eV per atom: -4.316
Raw formation energy, eV per atom: -0.94

a b c (Å): 5.405 5.120 10.980
angles (deg): 90.00 103.42 90.00
Fractional positions:
Mn (0.072, 0.250, 0.138)
Mn (0.928, 0.750, 0.862)
Tl (0.318, 0.250, 0.670)
Tl (0.682, 0.750, 0.330)
Br (0.434, 0.750, 0.862)
Br (0.566, 0.250, 0.138)
Cl (0.051, 0.750, 0.107)
Cl (0.168, 0.250, 0.363)
Cl (0.832, 0.750, 0.637)
Cl (0.949, 0.250, 0.893)

***

(3)
The following is a PBE calculation of Y4Ga12Ru after structural relaxation, from Alexandria.

Properties
Crystal system: cubic
M_tot, μB/f.u.: 0.0
Calculated total energy, eV per atom: -4.780
Formation energy from the elements, eV per atom: -0.5773

a b c (Å): 7.476 7.476 7.476
angles (deg): 109.47 109.47 109.47
Fractional positions:
Y (0.000, 0.000, 0.500)
Y (0.000, 0.500, 0.000)
Y (0.500, 0.000, 0.000)
Y (0.500, 0.500, 0.500)
Ga (0.000, 0.290, 0.290)
Ga (0.000, 0.710, 0.710)
Ga (0.250, 0.500, 0.750)
Ga (0.250, 0.750, 0.500)
Ga (0.290, 0.000, 0.290)
Ga (0.290, 0.290, 0.000)
Ga (0.500, 0.250, 0.750)
Ga (0.500, 0.750, 0.250)
Ga (0.710, 0.000, 0.710)
Ga (0.710, 0.710, 0.000)
Ga (0.750, 0.250, 0.500)
Ga (0.750, 0.500, 0.250)
Ru (0.000, 0.000, 0.000)

***

(4)
The following is a PBE calculation of CdAs3 after structural relaxation, from Alexandria.

Properties
Crystal system: cubic
M_tot, μB/f.u.: 0.0
Calculated total energy, eV per atom: -3.329
Formation energy from the elements, eV per atom: 0.3870

a b c (Å): 4.363 4.363 4.363
angles (deg): 90.00 90.00 90.00
Fractional positions:
Cd (0.000, 0.000, 0.000)
As (0.000, 0.500, 0.500)
As (0.500, 0.000, 0.500)
As (0.500, 0.500, 0.000)

***

(5)
The following is a PBE calculation of SnHS2 after structural relaxation, from Alexandria.

Properties
Crystal system: trigonal
M_tot, μB/f.u.: 0.0
Calculated total energy, eV per atom: -3.149

a b c (Å): 8.017 8.017 8.017
angles (deg): 22.32 22.32 22.32
Fractional positions:
Sn (0.000, 0.000, 0.000)
H (0.500, 0.500, 0.500)
S (0.113, 0.113, 0.113)
S (0.887, 0.887, 0.887)

***

(6)
The following is a PBE calculation of ZnSeOF2 after structural relaxation, from Alexandria.

Properties
Crystal system: tetragonal
M_tot, μB/f.u.: 1.3
Calculated total energy, eV per atom: -3.460
Raw formation energy, eV per atom: -0.77

a b c (Å): 3.814 3.814 4.690
angles (deg): 90.00 90.00 90.00
Fractional positions:
Zn (0.000, 0.000, 0.000)
Se (0.500, 0.500, 0.500)
O (0.000, 0.000, 0.500)
F (0.000, 0.500, 0.000)
F (0.500, 0.000, 0.000)

***

(7)
The following is a PBE calculation of NaTl2InSb2 after structural relaxation, from Alexandria.

Properties
Crystal system: orthorhombic
M_tot, μB/f.u.: 0.0
Calculated total energy, eV per atom: -2.990
Raw formation energy, eV per atom: -0.15

a b c (Å): 4.823 10.017 7.745
angles (deg): 90.00 90.00 90.00
Fractional positions:
Na (0.000, 0.056, 0.000)
Na (0.000, 0.944, 0.500)
Tl (0.000, 0.331, 0.346)
Tl (0.000, 0.669, 0.846)
Tl (0.500, 0.412, 0.041)
Tl (0.500, 0.588, 0.541)
In (0.500, 0.163, 0.667)
In (0.500, 0.837, 0.167)
Sb (0.000, 0.323, 0.762)
Sb (0.000, 0.677, 0.262)
Sb (0.500, 0.118, 0.284)
Sb (0.500, 0.882, 0.784)

***

(8)
The following is a PBE calculation of KCd2CoPb after structural relaxation, from Alexandria.

Properties
Crystal system: tetragonal
M_tot, μB/f.u.: 0.0
Calculated total energy, eV per atom: -2.701
Formation energy from the elements, eV per atom: 0.0478

a b c (Å): 5.195 5.195 4.976
angles (deg): 90.00 90.00 90.00
Fractional positions:
K (0.000, 0.000, 0.000)
Cd (0.000, 0.500, 0.500)
Cd (0.500, 0.000, 0.500)
Co (0.500, 0.500, 0.500)
Pb (0.500, 0.500, 0.000)

***

(9)
The following is a PBE calculation of BeInRh2 after structural relaxation, from Alexandria.

Properties
Crystal system: trigonal
M_tot, μB/f.u.: 0.0
Calculated total energy, eV per atom: -5.540
Formation energy from the elements, eV per atom: -0.2484

a b c (Å): 7.283 7.283 7.283
angles (deg): 24.47 24.47 24.47
Fractional positions:
Be (0.000, 0.000, 0.000)
In (0.500, 0.500, 0.500)
Rh (0.268, 0.268, 0.268)
Rh (0.732, 0.732, 0.732)

***

(10)
The following is a PBE calculation of TePICl2 after structural relaxation, from Alexandria.

Properties
Crystal system: tetragonal
M_tot, μB/f.u.: 0.9
Calculated total energy, eV per atom: -2.016
Raw formation energy, eV per atom: 0.74

a b c (Å): 5.303 5.303 5.559
angles (deg): 90.00 90.00 90.00
Fractional positions:
Te (0.000, 0.000, 0.000)
P (0.500, 0.500, 0.000)
I (0.500, 0.500, 0.500)
Cl (0.000, 0.500, 0.500)
Cl (0.500, 0.000, 0.500)

***

(11)
The following is a PBE calculation of SrCa2Ta after structural relaxation, from Alexandria.

Properties
Crystal system: cubic
M_tot, μB/f.u.: 2.7
Calculated total energy, eV per atom: -3.558
Formation energy from the elements, eV per atom: 0.8265

a b c (Å): 5.728 5.728 5.728
angles (deg): 60.00 60.00 60.00
Fractional positions:
Sr (0.000, 0.000, 0.000)
Ca (0.250, 0.250, 0.250)
Ca (0.500, 0.500, 0.500)
Ta (0.750, 0.750, 0.750)

***

(12)
The following is a PBE calculation of TaCrOs2 after structural relaxation, from Alexandria.

Properties
Crystal system: monoclinic
M_tot, μB/f.u.: 0.7
Calculated total energy, eV per atom: -10.915
Formation energy from the elements, eV per atom: 0.0687

a b c (Å): 4.720 4.720 4.808
angles (deg): 100.70 100.70 34.31
Fractional positions:
Ta (0.000, 0.000, 0.000)
Cr (0.500, 0.500, 0.500)
Os (0.239, 0.239, 0.728)
Os (0.761, 0.761, 0.272)

***

- Look up the M_tot of the eighth one.
  0.0 μB/f.u.

***

- Look up the M_tot of the eleventh one.
  2.7 μB/f.u.